# 1
Crystalline Ce4ThIn at its relaxed geometry, computed with GGA-PBE.

Output
- space group = P4_2/nmc
- energy of formation from the pure elements (kJ/mol of formula units) = 260
- energy relative to the lowest polymorph listed for this composition (eV per atom) = 0.533

a = 7.971 Å, b = 7.971 Å, c = 6.336 Å
α = 90.00°, β = 90.00°, γ = 90.00°
Each line ends with the local moment (μB).
Sites, in units of the cell vectors:
Th  0.000  0.000  0.000  0.01
Th  0.500  0.500  0.500  0.01
Ce  0.336  0.000  0.261  0.54
Ce  0.000  0.664  0.739  0.54
Ce  0.500  0.164  0.761  0.54
Ce  0.500  0.836  0.761  0.54
Ce  0.836  0.500  0.239  0.54
Ce  0.164  0.500  0.239  0.54
Ce  0.000  0.336  0.739  0.54
Ce  0.664  0.000  0.261  0.54
In  0.500  0.500  0.000  0.01
In  0.000  0.000  0.500  0.01


# 2
Crystalline Zn2CrSe at its relaxed geometry, computed with GGA-PBE.

Output
- space group = P4/mmm
- formation energy from raw total energies (eV per atom) = 0.322

a = 2.672 Å, b = 2.672 Å, c = 9.349 Å
α = 90.00°, β = 90.00°, γ = 90.00°
Sites, in units of the cell vectors:
Cr  0.500  0.500  0.250
Se  0.500  0.500  0.750
Zn  0.000  0.000  0.055
Zn  0.000  0.000  0.445


DFT total energy (computed, eV per atom): -5.201 -3.592
D(E_F) (computed, states/eV/f.u.): 16.044 3.075